# Ho3Tc2Ge4

An optimized crystal structure of Ho3Tc2Ge4 (PBE, the Alexandria database).

Cell and atoms, written as CIF:
```
data_Ho3Tc2Ge4
_chemical_formula_sum 'Ho6 Tc4 Ge8'
_cell_length_a 10.8004
_cell_length_b 4.3587
_cell_length_c 8.2256
_cell_angle_alpha 90.00
_cell_angle_beta 110.66
_cell_angle_gamma 90.00
_symmetry_space_group_name_H-M 'C 1 2/m 1'
_symmetry_Int_Tables_number 12
loop_
_symmetry_equiv_pos_as_xyz
'x,y,z'
'-x,-y,-z'
'-x,y,-z'
'x,-y,z'
'x+1/2,y+1/2,z'
'-x+1/2,-y+1/2,-z'
'-x+1/2,y+1/2,-z'
'x+1/2,-y+1/2,z'
loop_
_atom_site_label
_atom_site_fract_x
_atom_site_fract_y
_atom_site_fract_z
_atom_site_occupancy
Ho1 0.0000 0.0000 0.0000 1
Ho2 0.1284 0.5000 0.6967 1
Tc1 0.1779 0.5000 0.3550 1
Ge1 0.0923 0.0000 0.4090 1
Ge2 0.2074 0.5000 0.0753 1
```

# HoTcGe

An optimized crystal structure of HoTcGe (PBE, the Alexandria database).

## Properties
E above lowest polymorph: 167 meV/atom

Cell and atoms, written as CIF:
```
data_HoTcGe
_chemical_formula_sum 'Ho2 Tc2 Ge2'
_cell_length_a 3.3575
_cell_length_b 3.3575
_cell_length_c 10.0291
_cell_angle_alpha 90.00
_cell_angle_beta 90.00
_cell_angle_gamma 90.00
_symmetry_space_group_name_H-M 'I 4 m m'
_symmetry_Int_Tables_number 107
_symmetry_space_group_name_Hall 'I 4 -2'
loop_
_atom_site_label
_atom_site_fract_x
_atom_site_fract_y
_atom_site_fract_z
_atom_site_occupancy
Ho1 0.0000 0.0000 0.0000 1
Tc1 0.0000 0.0000 0.6931 1
Ge1 0.0000 0.0000 0.2984 1
```

| no. | energy of formation from the pure elements (eV per atom) | total magnetization (μB per cell) |
| --- | --- | --- |
| 1 | -0.636 | 0.0 |
| 2 | -0.388 | 0.0 |